The following is a meta-GGA SCAN calculation of TcNiRh2 at its PBEsol-relaxed geometry, from the Alexandria database.

Computed properties:
D(E_F): 4.9 states/eV/cell
relative energy among the computed polymorphs: 0.45 kcal/mol of atoms
space-group type: I4/mmm

a b c (Å): 3.7278 3.7278 4.5402
angles (deg): 114.24 114.24 90.00
Last column: nearest neighbours and their distance in Å.
Positions (direct):
Rh 0.7500 0.2500 0.5000  4 Tc 2.62, 4 Ni 2.62, 4 Rh 2.64
Rh 0.2500 0.7500 0.5000  4 Tc 2.62, 4 Ni 2.62, 4 Rh 2.64
Ni 0.5000 0.5000 0.0000  8 Rh 2.62, 4 Tc 2.64
Tc 0.0000 0.0000 0.0000  8 Rh 2.62, 4 Ni 2.64

The following is a meta-GGA SCAN calculation of TcNiRh2 at its PBEsol-relaxed geometry, from the Alexandria database.

Computed properties:
D(E_F): 4.9 states/eV/cell
relative energy among the computed polymorphs: 1.07 kcal/mol of atoms
space-group type: Pmm2

a b c (Å): 2.6464 3.7154 5.2357
angles (deg): 90.00 90.00 90.00
Last column: nearest neighbours and their distance in Å.
Positions (direct):
Tc 0.0000 0.0000 0.5105  6 Rh 2.48-2.76, 4 Ni 2.59, 2 Tc 2.65
Ni 0.5000 0.5000 0.7460  6 Rh 2.55-2.69, 4 Tc 2.59, 2 Ni 2.65
Rh 0.5000 0.5000 0.2594  2 Ni 2.55-2.69, 4 Tc 2.63, 6 Rh 2.65-2.70
Rh 0.0000 0.0000 0.9842  2 Tc 2.48-2.76, 4 Ni 2.60, 6 Rh 2.65-2.70

The following is a meta-GGA SCAN calculation of TcNi2Rh at its PBEsol-relaxed geometry, from the Alexandria database.

Computed properties:
D(E_F): 3.7 states/eV/cell
relative energy among the computed polymorphs: 0.43 kcal/mol of atoms
space-group type: Pmm2

a b c (Å): 2.6159 3.6388 5.0785
angles (deg): 90.00 90.00 90.00
Last column: nearest neighbours and their distance in Å.
Positions (direct):
Ni 0.4998 0.5000 0.2361  2 Tc 2.43-2.65, 6 Ni 2.53-2.62, 4 Rh 2.61
Ni 0.0001 0.0000 0.0063  2 Rh 2.51-2.57, 6 Ni 2.53-2.62, 4 Tc 2.57
Rh 0.0000 0.0000 0.5006  6 Ni 2.51-2.61, 4 Tc 2.59, 2 Rh 2.62
Tc 0.5000 0.5000 0.7570  6 Ni 2.43-2.65, 4 Rh 2.59, 2 Tc 2.62

The following is a meta-GGA SCAN calculation of TcNiRh2 at its PBEsol-relaxed geometry, from the Alexandria database.

Computed properties:
D(E_F): 4.7 states/eV/cell
relative energy among the computed polymorphs: 1.02 kcal/mol of atoms
space-group type: C2/m

a b c (Å): 2.6352 4.5439 4.5550
angles (deg): 99.50 106.81 90.00
Last column: nearest neighbours and their distance in Å.
Positions (direct):
Rh 0.7493 0.7480 0.4986  6 Rh 2.61-2.64, 3 Ni 2.62-2.63, 3 Tc 2.63-2.64
Rh 0.2507 0.2520 0.5014  6 Rh 2.61-2.64, 3 Ni 2.62-2.63, 3 Tc 2.63-2.64
Ni 0.0000 0.5000 0.0000  6 Rh 2.62-2.63, 4 Tc 2.63, 2 Ni 2.64
Tc 0.5000 0.0000 0.0000  6 Rh 2.63-2.64, 4 Ni 2.63, 2 Tc 2.64

The following is a meta-GGA SCAN calculation of NiTe2Rh at its PBEsol-relaxed geometry, from the Alexandria database.

Computed properties:
D(E_F): 2.6 states/eV/cell
space-group type: R-3m
uncorrected formation energy: 0.1 eV per formula unit

a b c (Å): 3.7792 3.7792 7.9605
angles (deg): 76.27 76.27 60.00
Last column: nearest neighbours and their distance in Å.
Positions (direct):
Te 0.8964 0.8964 0.3108  1 Ni 2.38, 3 Rh 2.62
Te 0.1036 0.1036 0.6892  1 Ni 2.38, 3 Rh 2.62
Rh 0.5000 0.5000 0.5000  6 Te 2.62
Ni 0.0000 0.0000 0.0000  2 Te 2.38

The following is a meta-GGA SCAN calculation of NiTe2Rh at its PBEsol-relaxed geometry, from the Alexandria database.

Computed properties:
D(E_F): 2.4 states/eV/cell
space-group type: I-4m2
uncorrected formation energy: 1.1 eV per formula unit

a b c (Å): 3.8721 3.8721 5.5198
angles (deg): 110.53 110.53 90.00
Last column: nearest neighbours and their distance in Å.
Positions (direct):
Te 0.0000 0.0000 0.0000  4 Ni 2.74
Te 0.7500 0.2500 0.5000  4 Rh 2.74
Ni 0.5000 0.5000 0.0000  4 Te 2.74
Rh 0.2500 0.7500 0.5000  4 Te 2.74

The following is a meta-GGA SCAN calculation of Ti2Ni2Rh at its PBEsol-relaxed geometry, from the Alexandria database.

Computed properties:
E_tot: -100.98 eV per formula unit
D(E_F): 9.3 states/eV/cell
space-group type: P4/mbm

a b c (Å): 2.9311 6.6721 6.6721
angles (deg): 90.00 90.00 90.00
Last column: nearest neighbours and their distance in Å.
Positions (direct):
Ti 0.5000 0.8237 0.3237  6 Ni 2.38-2.51
Ti 0.5000 0.1763 0.6763  6 Ni 2.38-2.51
Ti 0.5000 0.3237 0.1763  6 Ni 2.38-2.51
Ti 0.5000 0.6763 0.8237  6 Ni 2.38-2.51
Rh 0.0000 0.0000 0.0000  4 Ni 2.64, 8 Ti 2.86, 2 Rh 2.93
Rh 0.0000 0.5000 0.5000  4 Ni 2.64, 8 Ti 2.86, 2 Rh 2.93
Ni 0.0000 0.3749 0.8749  1 Ni 2.36, 6 Ti 2.38-2.51, 2 Rh 2.64
Ni 0.0000 0.8749 0.6251  1 Ni 2.36, 6 Ti 2.38-2.51, 2 Rh 2.64
Ni 0.0000 0.6251 0.1251  1 Ni 2.36, 6 Ti 2.38-2.51, 2 Rh 2.64
Ni 0.0000 0.1251 0.3749  1 Ni 2.36, 6 Ti 2.38-2.51, 2 Rh 2.64

The following is a meta-GGA SCAN calculation of NiRhW2 at its PBEsol-relaxed geometry, from the Alexandria database.

Computed properties:
D(E_F): 3.2 states/eV/cell
relative energy among the computed polymorphs: 5.24 kcal/mol of atoms
space-group type: R3m

a b c (Å): 2.7210 2.7210 8.9498
angles (deg): 81.26 81.26 60.00
Last column: nearest neighbours and their distance in Å.
Positions (direct):
W 0.7562 0.7562 0.7314  3 Ni 2.58, 6 W 2.72
W 0.9957 0.9957 0.0130  3 Rh 2.66, 9 W 2.72-2.94
Rh 0.2477 0.2477 0.2568  3 Ni 2.65, 3 W 2.66, 6 Rh 2.72
Ni 0.5004 0.5004 0.4989  3 W 2.58, 3 Rh 2.65, 6 Ni 2.72

The following is a meta-GGA SCAN calculation of NiRhW2 at its PBEsol-relaxed geometry, from the Alexandria database.

Computed properties:
D(E_F): 3.0 states/eV/cell
relative energy among the computed polymorphs: 0.04 kcal/mol of atoms
space-group type: Pmmm

a b c (Å): 2.6893 3.8429 5.3264
angles (deg): 90.00 90.00 90.00
Last column: nearest neighbours and their distance in Å.
Positions (direct):
Ni 0.5000 0.5000 0.0000  2 Rh 2.66, 8 W 2.68, 2 Ni 2.69
W 0.0000 0.0000 0.2453  4 W 2.61-2.71, 4 Ni 2.68, 4 Rh 2.71
W 0.0000 0.0000 0.7547  4 W 2.61-2.71, 4 Ni 2.68, 4 Rh 2.71
Rh 0.5000 0.5000 0.5000  2 Ni 2.66, 2 Rh 2.69, 8 W 2.71

The following is a meta-GGA SCAN calculation of NiRhW2 at its PBEsol-relaxed geometry, from the Alexandria database.

Computed properties:
D(E_F): 2.5 states/eV/cell
relative energy among the computed polymorphs: 0.07 kcal/mol of atoms
space-group type: P4/mmm

a b c (Å): 3.7767 3.7767 3.8578
angles (deg): 90.00 90.00 90.00
Last column: nearest neighbours and their distance in Å.
Positions (direct):
Rh 0.0000 0.0000 0.5000  4 Ni 2.67, 8 W 2.70
Ni 0.5000 0.5000 0.5000  4 Rh 2.67, 8 W 2.70
W 0.5000 0.0000 0.0000  4 W 2.67, 4 Ni 2.70, 4 Rh 2.70
W 0.0000 0.5000 0.0000  4 W 2.67, 4 Ni 2.70, 4 Rh 2.70

The following is a meta-GGA SCAN calculation of Ni4RhW at its PBEsol-relaxed geometry, from the Alexandria database.

Computed properties:
E_tot: -168.46 eV per formula unit
D(E_F): 4.3 states/eV/cell
space-group type: F-43m

a b c (Å): 4.6044 4.6044 4.6044
angles (deg): 60.00 60.00 60.00
Last column: nearest neighbours and their distance in Å.
Positions (direct):
Rh 0.7500 0.7500 0.7500  12 Ni 2.70, 4 W 2.82
Ni 0.3750 0.3750 0.3750  6 Ni 2.30
Ni 0.8750 0.3750 0.3750  6 Ni 2.30
Ni 0.3750 0.3750 0.8750  6 Ni 2.30
Ni 0.3750 0.8750 0.3750  6 Ni 2.30
W 0.0000 0.0000 0.0000  12 Ni 2.70, 4 Rh 2.82

The following is a meta-GGA SCAN calculation of NiRhW2 at its PBEsol-relaxed geometry, from the Alexandria database.

Computed properties:
D(E_F): 2.7 states/eV/cell
relative energy among the computed polymorphs: 0.42 kcal/mol of atoms
space-group type: Cmmm

a b c (Å): 2.6888 4.6834 4.6834
angles (deg): 110.73 90.00 90.00
Last column: nearest neighbours and their distance in Å.
Positions (direct):
Rh 0.5000 0.5000 0.5000  2 Ni 2.66, 2 Rh 2.69, 8 W 2.70
W 0.0000 0.0000 0.5000  4 W 2.66-2.69, 4 Rh 2.70, 4 Ni 2.70
W 0.0000 0.5000 0.0000  4 W 2.66-2.69, 4 Ni 2.70, 4 Rh 2.70
Ni 0.5000 0.0000 0.0000  2 Rh 2.66, 2 Ni 2.69, 8 W 2.70

The following is a meta-GGA SCAN calculation of NiRh2W at its PBEsol-relaxed geometry, from the Alexandria database.

Computed properties:
D(E_F): 2.6 states/eV/cell
relative energy among the computed polymorphs: 1.70 kcal/mol of atoms
space-group type: P4/mmm

a b c (Å): 3.6733 3.7926 3.7926
angles (deg): 90.00 90.00 90.00
Last column: nearest neighbours and their distance in Å.
Positions (direct):
W 0.5000 0.5000 0.5000  8 Rh 2.64, 4 Ni 2.68
Rh 0.0000 0.5000 0.0000  4 W 2.64, 4 Ni 2.64, 4 Rh 2.68
Rh 0.0000 0.0000 0.5000  4 W 2.64, 4 Ni 2.64, 4 Rh 2.68
Ni 0.5000 0.0000 0.0000  8 Rh 2.64, 4 W 2.68

The following is a meta-GGA SCAN calculation of NiRh2W at its PBEsol-relaxed geometry, from the Alexandria database.

Computed properties:
D(E_F): 3.6 states/eV/cell
relative energy among the computed polymorphs: 1.33 kcal/mol of atoms
space-group type: Pmmm

a b c (Å): 2.7022 3.6728 5.3554
angles (deg): 90.00 90.00 90.00
Last column: nearest neighbours and their distance in Å.
Positions (direct):
Rh 0.0000 0.0000 0.7405  4 Rh 2.58-2.78, 4 Ni 2.62, 4 W 2.67
Rh 0.0000 0.0000 0.2595  4 Rh 2.58-2.78, 4 Ni 2.62, 4 W 2.67
Ni 0.5000 0.5000 0.5000  8 Rh 2.62, 2 W 2.68, 2 Ni 2.70
W 0.5000 0.5000 0.0000  8 Rh 2.67, 2 Ni 2.68, 2 W 2.70

The following is a meta-GGA SCAN calculation of NiRh2W at its PBEsol-relaxed geometry, from the Alexandria database.

Computed properties:
D(E_F): 3.9 states/eV/cell
relative energy among the computed polymorphs: 0.00 kcal/mol of atoms
space-group type: I4/mmm

a b c (Å): 3.7913 3.7913 4.5524
angles (deg): 114.61 114.61 90.00
Last column: nearest neighbours and their distance in Å.
Positions (direct):
Rh 0.7500 0.2500 0.5000  4 W 2.64, 4 Ni 2.64, 4 Rh 2.68
Rh 0.2500 0.7500 0.5000  4 W 2.64, 4 Ni 2.64, 4 Rh 2.68
W 0.0000 0.0000 0.0000  8 Rh 2.64, 4 Ni 2.68
Ni 0.5000 0.5000 0.0000  8 Rh 2.64, 4 W 2.68

The following is a meta-GGA SCAN calculation of NiRhW2 at its PBEsol-relaxed geometry, from the Alexandria database.

Computed properties:
D(E_F): 2.4 states/eV/cell
relative energy among the computed polymorphs: 0.00 kcal/mol of atoms
space-group type: Pmm2

a b c (Å): 2.6945 4.3223 4.7234
angles (deg): 90.00 90.00 90.00
Last column: nearest neighbours and their distance in Å.
Positions (direct):
Ni 0.5000 0.0000 0.5476  8 W 2.64-2.74, 2 Rh 2.68, 2 Ni 2.69
Rh 0.5000 0.5000 0.2137  8 W 2.65-2.79, 2 Ni 2.68, 2 Rh 2.69
W 0.0000 0.0000 0.0427  4 Rh 2.67, 4 W 2.69-2.71, 4 Ni 2.70-2.74
W 0.0000 0.5000 0.6961  4 Ni 2.64, 4 Rh 2.65-2.79, 4 W 2.69-2.71

The following is a meta-GGA SCAN calculation of NiRhW2 at its PBEsol-relaxed geometry, from the Alexandria database.

Computed properties:
D(E_F): 2.9 states/eV/cell
relative energy among the computed polymorphs: 4.74 kcal/mol of atoms
space-group type: R-3m

a b c (Å): 2.7136 2.7136 8.9188
angles (deg): 81.25 81.25 60.00
Last column: nearest neighbours and their distance in Å.
Positions (direct):
W 0.2477 0.2477 0.2570  3 Ni 2.65, 6 W 2.71, 3 Rh 2.75
W 0.7523 0.7523 0.7430  3 Ni 2.65, 6 W 2.71, 3 Rh 2.75
Rh 0.0000 0.0000 0.0000  6 Rh 2.71, 6 W 2.75
Ni 0.5000 0.5000 0.5000  6 W 2.65, 6 Ni 2.71

The following is a meta-GGA SCAN calculation of NiRh2W at its PBEsol-relaxed geometry, from the Alexandria database.

Computed properties:
D(E_F): 4.6 states/eV/cell
relative energy among the computed polymorphs: 1.84 kcal/mol of atoms
space-group type: I-4m2

a b c (Å): 3.7241 3.7241 4.6334
angles (deg): 113.70 113.70 90.00
Last column: nearest neighbours and their distance in Å.
Positions (direct):
Rh 0.5000 0.5000 0.0000  4 W 2.63, 4 Ni 2.66, 4 Rh 2.66
Rh 0.7500 0.2500 0.5000  4 Ni 2.63, 4 W 2.66, 4 Rh 2.66
Ni 0.2500 0.7500 0.5000  8 Rh 2.63-2.66, 4 W 2.66
W 0.0000 0.0000 0.0000  8 Rh 2.63-2.66, 4 Ni 2.66

The following is a meta-GGA SCAN calculation of NiRhW at its PBEsol-relaxed geometry, from the Alexandria database.

Computed properties:
E_tot: -120.08 eV per formula unit
D(E_F): 2.0 states/eV/cell
space-group type: Imm2

a b c (Å): 2.6990 3.6771 4.5823
angles (deg): 113.65 107.13 90.00
Last column: nearest neighbours and their distance in Å.
Positions (direct):
W 0.3366 0.3366 0.6731  5 Rh 2.61-2.66, 5 Ni 2.62-2.68, 2 W 2.70
Ni 0.9990 0.9990 0.9980  5 W 2.62-2.68, 5 Rh 2.63-2.66, 2 Ni 2.70
Rh 0.6645 0.6645 0.3289  5 W 2.61-2.66, 5 Ni 2.63-2.66, 2 Rh 2.70

The following is a meta-GGA SCAN calculation of Y2NiRh at its PBEsol-relaxed geometry, from the Alexandria database.

Computed properties:
E_tot: -108.37 eV per formula unit
D(E_F): 2.2 states/eV/cell
space-group type: Amm2

a b c (Å): 3.8102 4.0027 5.5674
angles (deg): 90.00 110.01 90.00
Last column: nearest neighbours and their distance in Å.
Positions (direct):
Rh 0.7012 0.5000 0.4024  2 Ni 2.56, 4 Y 2.85
Y 0.9836 0.5000 0.9671  4 Ni 2.84, 3 Rh 2.95-2.97
Y 0.2673 0.0000 0.5347  4 Rh 2.85, 3 Ni 2.94-2.98
Ni 0.5479 0.0000 0.0958  2 Rh 2.56, 4 Y 2.84